(1)
Below is a relaxed TaCrAs2 crystal, with properties calculated at the PBE level.

Output
DOS at the Fermi energy: 3.8 states/eV per cell
total magnetization: 0.92 μB per formula unit
formation enthalpy at 0 K: 6 meV per atom

Cell: 2.8517 2.8517 9.6911 Å, 90.00 90.00 105.38°
Last column: nearest neighbours and their distance in Å.
Sites, in units of the cell vectors:
As 0.5000 0.5000 0.3320  2 Cr 2.45
As 0.0000 0.0000 0.9336  2 Ta 2.68, 4 As 2.85
Ta 0.5000 0.5000 0.7228  2 As 2.68, 2 Cr 2.68, 4 Ta 2.85
Cr 0.0000 0.0000 0.5116  2 As 2.45, 2 Ta 2.68

(2)
Below is a relaxed HfNbSn2 crystal, with properties calculated at the PBE level.

Output
DOS at the Fermi energy: 3.9 states/eV per cell
total magnetization: 0.00 μB per formula unit
formation enthalpy at 0 K: -40 meV per atom

Cell: 4.1177 4.5235 4.5235 Å, 90.00 90.00 90.00°
Last column: nearest neighbours and their distance in Å.
Sites, in units of the cell vectors:
Sn 0.0000 0.5000 0.0000  4 Hf 3.06, 4 Nb 3.06, 4 Sn 3.20
Sn 0.0000 0.0000 0.5000  4 Hf 3.06, 4 Nb 3.06, 4 Sn 3.20
Nb 0.5000 0.5000 0.5000  8 Sn 3.06, 4 Hf 3.20
Hf 0.5000 0.0000 0.0000  8 Sn 3.06, 4 Nb 3.20

(3)
Below is a relaxed NdSm8Ir6 crystal, with properties calculated at the PBE level.

Output
DOS at the Fermi energy: 11.0 states/eV per cell
total magnetization: 0.00 μB per formula unit
formation enthalpy at 0 K: -644 meV per atom

Cell: 7.8458 7.8458 7.8458 Å, 65.25 65.25 65.25°
Last column: nearest neighbours and their distance in Å.
Sites, in units of the cell vectors:
Sm 0.5524 0.8889 0.2223  5 Ir 2.97-3.13
Sm 0.7777 0.4476 0.1111  5 Ir 2.97-3.13
Sm 0.8889 0.2223 0.5524  5 Ir 2.97-3.13
Sm 0.1111 0.7777 0.4476  5 Ir 2.97-3.13
Sm 0.2223 0.5524 0.8889  5 Ir 2.97-3.13
Sm 0.6662 0.6662 0.6662  6 Ir 3.00-3.01
Sm 0.4476 0.1111 0.7777  5 Ir 2.97-3.13
Sm 0.3338 0.3338 0.3338  6 Ir 3.00-3.01
Ir 0.9421 0.6081 0.2767  7 Sm 2.97-3.13, 1 Nd 3.02
Ir 0.0579 0.3919 0.7233  7 Sm 2.97-3.13, 1 Nd 3.02
Ir 0.7233 0.0579 0.3919  7 Sm 2.97-3.13, 1 Nd 3.02
Ir 0.6081 0.2767 0.9421  7 Sm 2.97-3.13, 1 Nd 3.02
Ir 0.3919 0.7233 0.0579  7 Sm 2.97-3.13, 1 Nd 3.02
Ir 0.2767 0.9421 0.6081  7 Sm 2.97-3.13, 1 Nd 3.02
Nd 0.0000 0.0000 0.0000  6 Ir 3.02

(4)
Below is a relaxed TaRu2Rh2 crystal, with properties calculated at the PBE level.

Output
DOS at the Fermi energy: 14.8 states/eV per cell
total magnetization: 0.00 μB per formula unit
formation enthalpy at 0 K: 81 meV per atom

Cell: 7.3843 7.3843 2.8003 Å, 90.00 90.00 90.00°
Last column: nearest neighbours and their distance in Å.
Sites, in units of the cell vectors:
Ru 0.3781 0.8781 0.0000  6 Rh 2.54-2.63, 3 Ru 2.55-2.80
Ru 0.6219 0.1219 0.0000  6 Rh 2.54-2.63, 3 Ru 2.55-2.80
Ru 0.8781 0.6219 0.0000  6 Rh 2.54-2.63, 3 Ru 2.55-2.80
Ru 0.1219 0.3781 0.0000  6 Rh 2.54-2.63, 3 Ru 2.55-2.80
Rh 0.8248 0.3248 0.5000  6 Ru 2.54-2.63, 2 Rh 2.80
Rh 0.1752 0.6752 0.5000  6 Ru 2.54-2.63, 2 Rh 2.80
Rh 0.6752 0.8248 0.5000  6 Ru 2.54-2.63, 2 Rh 2.80
Rh 0.3248 0.1752 0.5000  6 Ru 2.54-2.63, 2 Rh 2.80
Ta 0.5000 0.5000 0.0000  2 Ta 2.80, 4 Ru 2.93, 8 Rh 3.06
Ta 0.0000 0.0000 0.0000  2 Ta 2.80, 4 Ru 2.93, 8 Rh 3.06

(5)
Below is a relaxed AlHg2P crystal, with properties calculated at the PBE level.

Output
DOS at the Fermi energy: 1.6 states/eV per cell
total magnetization: 0.00 μB per formula unit
formation enthalpy at 0 K: 234 meV per atom

Cell: 3.9696 3.9838 5.5918 Å, 96.18 90.00 90.00°
Last column: nearest neighbours and their distance in Å.
Sites, in units of the cell vectors:
Al 0.0000 0.0000 0.5000  2 Hg 2.80, 4 P 2.81
Hg 0.5000 0.5000 0.0000  2 P 2.80, 4 Hg 2.81
Hg 0.0000 0.0000 0.0000  2 Al 2.80, 4 Hg 2.81
P 0.5000 0.5000 0.5000  2 Hg 2.80, 4 Al 2.81